Entry 1:
A geometry-optimized Hf2AlFe3 structure, computed with PBE-GGA.

abc: 5.0092 5.0092 8.0681
angles: 90.00 90.00 120.00
Last column: nearest neighbours and their distance in Å.
Sites, in units of the cell vectors:
Hf 0.3333 0.6667 0.0648  9 Fe 2.90-2.92, 3 Al 2.94, 4 Hf 2.99-3.08
Hf 0.3333 0.6667 0.4352  9 Fe 2.90-2.92, 3 Al 2.94, 4 Hf 2.99-3.08
Hf 0.6667 0.3333 0.5648  9 Fe 2.90-2.92, 3 Al 2.94, 4 Hf 2.99-3.08
Hf 0.6667 0.3333 0.9352  9 Fe 2.90-2.92, 3 Al 2.94, 4 Hf 2.99-3.08
Al 0.0000 0.0000 0.0000  6 Fe 2.51
Al 0.0000 0.0000 0.5000  6 Fe 2.51
Fe 0.1727 0.3454 0.7500  4 Fe 2.41-2.60, 2 Al 2.51
Fe 0.1727 0.8273 0.7500  4 Fe 2.41-2.60, 2 Al 2.51
Fe 0.3454 0.1727 0.2500  4 Fe 2.41-2.60, 2 Al 2.51
Fe 0.6546 0.8273 0.7500  4 Fe 2.41-2.60, 2 Al 2.51
Fe 0.8273 0.1727 0.2500  4 Fe 2.41-2.60, 2 Al 2.51
Fe 0.8273 0.6546 0.2500  4 Fe 2.41-2.60, 2 Al 2.51

Values from the calculation:
- energy (eV per formula unit) = -51.6
- calculated formation energy (meV per atom) = -426


Entry 2:
A geometry-optimized Hf4AlFe5 structure, computed with PBE-GGA.

abc: 3.1023 3.1023 15.2825
angles: 90.00 90.00 90.00
Last column: nearest neighbours and their distance in Å.
Sites, in units of the cell vectors:
Hf 0.0000 0.0000 0.1037  8 Fe 2.68-2.71
Hf 0.0000 0.0000 0.3112  8 Fe 2.66-2.74, 1 Al 2.89
Hf 0.0000 0.0000 0.6888  8 Fe 2.66-2.74, 1 Al 2.89
Hf 0.0000 0.0000 0.8963  8 Fe 2.68-2.71
Al 0.0000 0.0000 0.5000  8 Fe 2.59, 2 Hf 2.89
Fe 0.5000 0.5000 0.0000  8 Hf 2.71
Fe 0.5000 0.5000 0.2041  8 Hf 2.68-2.74
Fe 0.5000 0.5000 0.4097  4 Al 2.59, 4 Hf 2.66, 1 Fe 2.76
Fe 0.5000 0.5000 0.5903  4 Al 2.59, 4 Hf 2.66, 1 Fe 2.76
Fe 0.5000 0.5000 0.7959  8 Hf 2.68-2.74

Values from the calculation:
- energy (eV per formula unit) = -89.1
- calculated formation energy (meV per atom) = -321


Entry 3:
A geometry-optimized HfAl10Fe2 structure, computed with PBE-GGA.

abc: 6.6644 6.6644 8.8775
angles: 90.00 90.00 97.16
Last column: nearest neighbours and their distance in Å.
Sites, in units of the cell vectors:
Hf 0.1324 0.8676 0.7500  14 Al 2.99-3.27, 4 Fe 3.34
Hf 0.8676 0.1324 0.2500  14 Al 2.99-3.27, 4 Fe 3.34
Al 0.1411 0.4196 0.7500  2 Fe 2.49, 6 Al 2.56-2.76
Al 0.1466 0.8534 0.0958  6 Al 2.56-2.83, 2 Fe 2.58
Al 0.1466 0.8534 0.4042  6 Al 2.56-2.83, 2 Fe 2.58
Al 0.2163 0.4779 0.2500  5 Al 2.56-2.79, 2 Fe 2.66
Al 0.2268 0.2268 0.0000  2 Fe 2.51, 8 Al 2.62-2.79
Al 0.2268 0.2268 0.5000  2 Fe 2.51, 8 Al 2.62-2.79
Al 0.3709 0.6291 0.5440  2 Fe 2.54, 6 Al 2.56-2.76
Al 0.3709 0.6291 0.9560  2 Fe 2.54, 6 Al 2.56-2.76
Al 0.4196 0.1411 0.2500  2 Fe 2.49, 6 Al 2.56-2.76
Al 0.4779 0.2163 0.7500  5 Al 2.56-2.79, 2 Fe 2.66
Al 0.5221 0.7837 0.2500  5 Al 2.56-2.79, 2 Fe 2.66
Al 0.5804 0.8589 0.7500  2 Fe 2.49, 6 Al 2.56-2.76
Al 0.6291 0.3709 0.0440  2 Fe 2.54, 6 Al 2.56-2.76
Al 0.6291 0.3709 0.4560  2 Fe 2.54, 6 Al 2.56-2.76
Al 0.7732 0.7732 0.0000  2 Fe 2.51, 8 Al 2.62-2.79
Al 0.7732 0.7732 0.5000  2 Fe 2.51, 8 Al 2.62-2.79
Al 0.7837 0.5221 0.7500  5 Al 2.56-2.79, 2 Fe 2.66
Al 0.8534 0.1466 0.5958  6 Al 2.56-2.83, 2 Fe 2.58
Al 0.8534 0.1466 0.9042  6 Al 2.56-2.83, 2 Fe 2.58
Al 0.8589 0.5804 0.2500  2 Fe 2.49, 6 Al 2.56-2.76
Fe 0.0000 0.5000 0.0000  10 Al 2.49-2.66
Fe 0.0000 0.5000 0.5000  10 Al 2.49-2.66
Fe 0.5000 0.0000 0.0000  10 Al 2.49-2.66
Fe 0.5000 0.0000 0.5000  10 Al 2.49-2.66

Values from the calculation:
- energy (eV per formula unit) = -68.2
- calculated formation energy (meV per atom) = -296


Entry 4:
A geometry-optimized HfAl2Fe structure, computed with PBE-GGA.

abc: 3.9318 3.9318 4.1182
angles: 90.00 90.00 90.00
Last column: nearest neighbours and their distance in Å.
Sites, in units of the cell vectors:
Hf 0.0000 0.0000 0.0000  4 Fe 2.78, 8 Al 2.85
Al 0.0000 0.5000 0.5000  4 Al 2.78, 4 Hf 2.85, 4 Fe 2.85
Al 0.5000 0.0000 0.5000  4 Al 2.78, 4 Hf 2.85, 4 Fe 2.85
Fe 0.5000 0.5000 0.0000  4 Hf 2.78, 8 Al 2.85

Values from the calculation:
- energy (eV per formula unit) = -27.1
- calculated formation energy (meV per atom) = -296


Entry 5:
A geometry-optimized Hf3AlFe structure, computed with PBE-GGA.

abc: 4.7424 4.7424 4.7424
angles: 90.00 90.00 90.00
Last column: nearest neighbours and their distance in Å.
Sites, in units of the cell vectors:
Hf 0.0000 0.0000 0.5000  2 Fe 2.37
Hf 0.0000 0.5000 0.0000  2 Fe 2.37
Hf 0.5000 0.0000 0.0000  2 Fe 2.37
Al 0.5000 0.5000 0.5000  12 Hf 3.35
Fe 0.0000 0.0000 0.0000  6 Hf 2.37

Values from the calculation:
- energy (eV per formula unit) = -41.1
- calculated formation energy (meV per atom) = 200


Entry 6:
A geometry-optimized Hf4Al16Fe3 structure, computed with PBE-GGA.

abc: 5.8707 5.8707 10.8548
angles: 90.00 90.00 90.00
Last column: nearest neighbours and their distance in Å.
Sites, in units of the cell vectors:
Hf 0.0000 0.5000 0.1939  12 Al 2.91-2.96
Hf 0.0000 0.5000 0.8061  12 Al 2.91-2.96
Hf 0.5000 0.0000 0.1939  12 Al 2.91-2.96
Hf 0.5000 0.0000 0.8061  12 Al 2.91-2.96
Al 0.0000 0.0000 0.1932  8 Al 2.80-2.91, 4 Hf 2.94
Al 0.0000 0.0000 0.8068  8 Al 2.80-2.91, 4 Hf 2.94
Al 0.2237 0.2237 0.0000  1 Fe 2.29
Al 0.2237 0.7763 0.0000  1 Fe 2.29
Al 0.2483 0.2483 0.3818  2 Fe 2.44, 1 Al 2.57
Al 0.2483 0.2483 0.6182  2 Fe 2.44, 1 Al 2.57
Al 0.2483 0.7517 0.3818  2 Fe 2.44, 1 Al 2.57
Al 0.2483 0.7517 0.6182  2 Fe 2.44, 1 Al 2.57
Al 0.5000 0.5000 0.2128  1 Fe 2.31
Al 0.5000 0.5000 0.7872  1 Fe 2.31
Al 0.7517 0.2483 0.3818  2 Fe 2.44, 1 Al 2.57
Al 0.7517 0.2483 0.6182  2 Fe 2.44, 1 Al 2.57
Al 0.7517 0.7517 0.3818  2 Fe 2.44, 1 Al 2.57
Al 0.7517 0.7517 0.6182  2 Fe 2.44, 1 Al 2.57
Al 0.7763 0.2237 0.0000  1 Fe 2.29
Al 0.7763 0.7763 0.0000  1 Fe 2.29
Fe 0.0000 0.5000 0.5000  8 Al 2.44
Fe 0.5000 0.0000 0.5000  8 Al 2.44
Fe 0.5000 0.5000 0.0000  6 Al 2.29-2.31

Values from the calculation:
- energy (eV per formula unit) = -133.0
- calculated formation energy (meV per atom) = -346


Entry 7:
A geometry-optimized LuHfAlFe structure, computed with PBE-GGA.

abc: 6.6699 6.6699 6.6699
angles: 90.00 90.00 90.00
Last column: nearest neighbours and their distance in Å.
Sites, in units of the cell vectors:
Lu 0.0000 0.0000 0.0000  4 Fe 2.89, 4 Al 2.89
Lu 0.0000 0.5000 0.5000  4 Fe 2.89, 4 Al 2.89
Lu 0.5000 0.0000 0.5000  4 Fe 2.89, 4 Al 2.89
Lu 0.5000 0.5000 0.0000  4 Fe 2.89, 4 Al 2.89
Hf 0.0000 0.0000 0.5000  4 Al 2.89, 4 Fe 2.89
Hf 0.0000 0.5000 0.0000  4 Al 2.89, 4 Fe 2.89
Hf 0.5000 0.0000 0.0000  4 Al 2.89, 4 Fe 2.89
Hf 0.5000 0.5000 0.5000  4 Al 2.89, 4 Fe 2.89
Al 0.2500 0.2500 0.7500  4 Hf 2.89, 4 Lu 2.89
Al 0.2500 0.7500 0.2500  4 Hf 2.89, 4 Lu 2.89
Al 0.7500 0.2500 0.2500  4 Hf 2.89, 4 Lu 2.89
Al 0.7500 0.7500 0.7500  4 Hf 2.89, 4 Lu 2.89
Fe 0.2500 0.2500 0.2500  4 Hf 2.89, 4 Lu 2.89
Fe 0.2500 0.7500 0.7500  4 Hf 2.89, 4 Lu 2.89
Fe 0.7500 0.2500 0.7500  4 Hf 2.89, 4 Lu 2.89
Fe 0.7500 0.7500 0.2500  4 Hf 2.89, 4 Lu 2.89

Values from the calculation:
- energy (eV per formula unit) = -27.3
- calculated formation energy (meV per atom) = -161


Entry 8:
A geometry-optimized Hf2Mn2AlFe5 structure, computed with PBE-GGA.

abc: 8.7061 8.7061 3.6010
angles: 90.00 90.00 90.00
Last column: nearest neighbours and their distance in Å.
Sites, in units of the cell vectors:
Hf 0.1818 0.3182 0.0000  3 Mn 2.52-2.64
Hf 0.3182 0.8182 0.0000  3 Mn 2.52-2.64
Hf 0.6818 0.1818 0.0000  3 Mn 2.52-2.64
Hf 0.8182 0.6818 0.0000  3 Mn 2.52-2.64
Mn 0.1137 0.6137 0.0000  6 Fe 2.28-2.43, 1 Hf 2.52
Mn 0.3863 0.1137 0.0000  6 Fe 2.28-2.43, 1 Hf 2.52
Mn 0.6137 0.8863 0.0000  6 Fe 2.28-2.43, 1 Hf 2.52
Mn 0.8863 0.3863 0.0000  6 Fe 2.28-2.43, 1 Hf 2.52
Al 0.0000 0.0000 0.0000  8 Fe 2.60
Al 0.5000 0.5000 0.0000  8 Fe 2.60
Fe 0.0000 0.5000 0.5000  4 Mn 2.28
Fe 0.0602 0.7935 0.5000  2 Mn 2.43, 2 Al 2.60, 3 Fe 2.61-2.65
Fe 0.2065 0.0602 0.5000  2 Mn 2.43, 2 Al 2.60, 3 Fe 2.61-2.65
Fe 0.2935 0.5602 0.5000  2 Mn 2.43, 2 Al 2.60, 3 Fe 2.61-2.65
Fe 0.4398 0.2935 0.5000  2 Mn 2.43, 2 Al 2.60, 3 Fe 2.61-2.65
Fe 0.5000 0.0000 0.5000  4 Mn 2.28
Fe 0.5602 0.7065 0.5000  2 Mn 2.43, 2 Al 2.60, 3 Fe 2.61-2.65
Fe 0.7065 0.4398 0.5000  2 Mn 2.43, 2 Al 2.60, 3 Fe 2.61-2.65
Fe 0.7935 0.9398 0.5000  2 Mn 2.43, 2 Al 2.60, 3 Fe 2.61-2.65
Fe 0.9398 0.2065 0.5000  2 Mn 2.43, 2 Al 2.60, 3 Fe 2.61-2.65

Values from the calculation:
- energy (eV per formula unit) = -84.6
- calculated formation energy (meV per atom) = -25


Entry 9:
A geometry-optimized Hf2MnAl2Fe5 structure, computed with PBE-GGA.

abc: 9.3693 9.3693 3.1949
angles: 90.00 90.00 90.00
Last column: nearest neighbours and their distance in Å.
Sites, in units of the cell vectors:
Hf 0.1692 0.3308 0.0000  3 Al 2.68-2.82, 6 Fe 2.75-2.95
Hf 0.3308 0.8308 0.0000  3 Al 2.68-2.82, 6 Fe 2.75-2.95
Hf 0.6692 0.1692 0.0000  3 Al 2.68-2.82, 6 Fe 2.75-2.95
Hf 0.8308 0.6692 0.0000  3 Al 2.68-2.82, 6 Fe 2.75-2.95
Mn 0.0000 0.0000 0.0000  8 Fe 2.45
Mn 0.5000 0.5000 0.0000  8 Fe 2.45
Al 0.1287 0.6287 0.0000  6 Fe 2.34-2.43
Al 0.3713 0.1287 0.0000  6 Fe 2.34-2.43
Al 0.6287 0.8713 0.0000  6 Fe 2.34-2.43
Al 0.8713 0.3713 0.0000  6 Fe 2.34-2.43
Fe 0.0000 0.5000 0.5000  4 Al 2.34
Fe 0.0552 0.8094 0.5000  2 Al 2.43, 2 Mn 2.45, 2 Fe 2.63
Fe 0.1906 0.0552 0.5000  2 Al 2.43, 2 Mn 2.45, 2 Fe 2.63
Fe 0.3094 0.5552 0.5000  2 Al 2.43, 2 Mn 2.45, 2 Fe 2.63
Fe 0.4448 0.3094 0.5000  2 Al 2.43, 2 Mn 2.45, 2 Fe 2.63
Fe 0.5000 0.0000 0.5000  4 Al 2.34
Fe 0.5552 0.6906 0.5000  2 Al 2.43, 2 Mn 2.45, 2 Fe 2.63
Fe 0.6906 0.4448 0.5000  2 Al 2.43, 2 Mn 2.45, 2 Fe 2.63
Fe 0.8094 0.9448 0.5000  2 Al 2.43, 2 Mn 2.45, 2 Fe 2.63
Fe 0.9448 0.1906 0.5000  2 Al 2.43, 2 Mn 2.45, 2 Fe 2.63

Values from the calculation:
- energy (eV per formula unit) = -79.4
- calculated formation energy (meV per atom) = -53


Entry 10:
A geometry-optimized Hf2Al2Fe5Mo structure, computed with PBE-GGA.

abc: 9.3613 9.3613 3.1608
angles: 90.00 90.00 90.00
Last column: nearest neighbours and their distance in Å.
Sites, in units of the cell vectors:
Hf 0.1712 0.3288 0.0000  3 Al 2.68-2.82, 10 Fe 2.76-2.97
Hf 0.3288 0.8288 0.0000  3 Al 2.68-2.82, 10 Fe 2.76-2.97
Hf 0.6712 0.1712 0.0000  3 Al 2.68-2.82, 10 Fe 2.76-2.97
Hf 0.8288 0.6712 0.0000  3 Al 2.68-2.82, 10 Fe 2.76-2.97
Al 0.1263 0.6263 0.0000  6 Fe 2.30-2.35
Al 0.3737 0.1263 0.0000  6 Fe 2.30-2.35
Al 0.6263 0.8737 0.0000  6 Fe 2.30-2.35
Al 0.8737 0.3737 0.0000  6 Fe 2.30-2.35
Fe 0.0000 0.5000 0.5000  4 Al 2.30
Fe 0.0633 0.8011 0.5000  2 Al 2.35, 2 Mo 2.51
Fe 0.1989 0.0633 0.5000  2 Al 2.35, 2 Mo 2.51
Fe 0.3011 0.5633 0.5000  2 Al 2.35, 2 Mo 2.51
Fe 0.4367 0.3011 0.5000  2 Al 2.35, 2 Mo 2.51
Fe 0.5000 0.0000 0.5000  4 Al 2.30
Fe 0.5633 0.6989 0.5000  2 Al 2.35, 2 Mo 2.51
Fe 0.6989 0.4367 0.5000  2 Al 2.35, 2 Mo 2.51
Fe 0.8011 0.9367 0.5000  2 Al 2.35, 2 Mo 2.51
Fe 0.9367 0.1989 0.5000  2 Al 2.35, 2 Mo 2.51
Mo 0.0000 0.0000 0.0000  8 Fe 2.51
Mo 0.5000 0.5000 0.0000  8 Fe 2.51

Values from the calculation:
- energy (eV per formula unit) = -81.7
- calculated formation energy (meV per atom) = -114


Copy entry 6 word for word.
A geometry-optimized Hf4Al16Fe3 structure, computed with PBE-GGA.

abc: 5.8707 5.8707 10.8548
angles: 90.00 90.00 90.00
Last column: nearest neighbours and their distance in Å.
Sites, in units of the cell vectors:
Hf 0.0000 0.5000 0.1939  12 Al 2.91-2.96
Hf 0.0000 0.5000 0.8061  12 Al 2.91-2.96
Hf 0.5000 0.0000 0.1939  12 Al 2.91-2.96
Hf 0.5000 0.0000 0.8061  12 Al 2.91-2.96
Al 0.0000 0.0000 0.1932  8 Al 2.80-2.91, 4 Hf 2.94
Al 0.0000 0.0000 0.8068  8 Al 2.80-2.91, 4 Hf 2.94
Al 0.2237 0.2237 0.0000  1 Fe 2.29
Al 0.2237 0.7763 0.0000  1 Fe 2.29
Al 0.2483 0.2483 0.3818  2 Fe 2.44, 1 Al 2.57
Al 0.2483 0.2483 0.6182  2 Fe 2.44, 1 Al 2.57
Al 0.2483 0.7517 0.3818  2 Fe 2.44, 1 Al 2.57
Al 0.2483 0.7517 0.6182  2 Fe 2.44, 1 Al 2.57
Al 0.5000 0.5000 0.2128  1 Fe 2.31
Al 0.5000 0.5000 0.7872  1 Fe 2.31
Al 0.7517 0.2483 0.3818  2 Fe 2.44, 1 Al 2.57
Al 0.7517 0.2483 0.6182  2 Fe 2.44, 1 Al 2.57
Al 0.7517 0.7517 0.3818  2 Fe 2.44, 1 Al 2.57
Al 0.7517 0.7517 0.6182  2 Fe 2.44, 1 Al 2.57
Al 0.7763 0.2237 0.0000  1 Fe 2.29
Al 0.7763 0.7763 0.0000  1 Fe 2.29
Fe 0.0000 0.5000 0.5000  8 Al 2.44
Fe 0.5000 0.0000 0.5000  8 Al 2.44
Fe 0.5000 0.5000 0.0000  6 Al 2.29-2.31

Values from the calculation:
- energy (eV per formula unit) = -133.0
- calculated formation energy (meV per atom) = -346


- Which of these has the highest energy?
  HfAl2Fe


- The highest energy belongs to which entry?
  HfAl2Fe